Record 1
Here is an optimized crystal structure of Pr2Dy3Pb4 from Alexandria. Energies are from PBE.

Cell and atoms, written as POSCAR:
```
Pr2Dy3Pb4
1.0
7.173 0.000 0.000
0.000 9.070 0.000
-3.586 0.000 8.717
Pr Dy Pb
4 6 8
Cartesian
0.000 5.342 1.941 Pr
3.586 3.727 6.777 Pr
0.000 0.807 6.777 Pr
3.586 8.262 1.941 Pr
0.000 0.000 0.000 Dy
3.586 4.535 0.000 Dy
1.793 6.802 5.114 Dy
5.380 2.267 3.604 Dy
1.793 2.267 3.604 Dy
-1.793 6.802 5.114 Dy
1.793 6.802 8.167 Pb
5.380 2.267 0.550 Pb
1.793 2.267 0.550 Pb
-1.793 6.802 8.167 Pb
0.000 8.573 3.242 Pb
3.586 0.497 5.476 Pb
0.000 4.038 5.476 Pb
3.586 5.032 3.242 Pb
```

Calculated values
**SG**: Cmce (64)
**Size of the total moment**: 0.0 μB per cell
**Energy above the lowest structure with this stoichiometry**: 135 meV per atom



Record 2
Here is an optimized crystal structure of BaCo2AgBr8 from Alexandria. Energies are from PBE.

Cell and atoms, written as POSCAR:
```
BaCo2AgBr8
1.0
7.632 0.000 0.000
-3.816 6.610 0.000
0.000 0.000 8.921
Ba Co Ag Br
1 2 1 8
Cartesian
0.000 0.000 4.460 Ba
0.000 4.406 6.252 Co
3.816 2.203 2.669 Co
0.000 0.000 0.000 Ag
0.000 2.156 7.013 Br
-1.949 5.532 7.013 Br
1.949 5.532 7.013 Br
1.867 1.078 1.908 Br
3.816 2.203 4.982 Br
0.000 4.406 3.939 Br
3.816 4.454 1.908 Br
5.765 1.078 1.908 Br
```

Calculated values
**SG**: P-3m1 (164)
**Raw formation energy**: -0.71 eV per atom
**Size of the total moment**: 7.0 μB per cell



Record 3
Here is an optimized crystal structure of Sm2RhAu from Alexandria. Energies are from PBE.

Cell and atoms, written as POSCAR:
```
Sm2RhAu
1.0
4.533 0.000 0.000
0.000 5.430 -2.010
0.000 -0.030 7.820
Sm Rh Au
4 2 2
Cartesian
3.400 1.149 2.980 Sm
1.133 4.251 2.829 Sm
1.133 4.170 -0.964 Sm
3.400 1.230 6.773 Sm
3.400 3.660 0.915 Rh
1.133 1.740 4.894 Rh
1.133 1.779 0.979 Au
3.400 3.621 4.831 Au
```

Calculated values
**SG**: P2_1/m (11)
**Total energy**: -5.82 eV per atom
**Size of the total moment**: 0.0 μB per cell



Record 4
Here is an optimized crystal structure of Ca2TlAg4 from Alexandria. Energies are from PBE.

Cell and atoms, written as POSCAR:
```
Ca2TlAg4
1.0
-4.337 -3.508 0.652
4.951 -2.049 -1.681
1.763 1.617 8.025
Ca Tl Ag
2 1 4
Cartesian
0.776 -3.042 1.187 Ca
1.602 -0.898 5.810 Ca
0.000 0.000 0.000 Tl
1.564 -3.484 4.045 Ag
0.814 -0.456 2.952 Ag
2.476 -1.024 -0.840 Ag
-2.168 -1.754 0.326 Ag
```

Calculated values
**SG**: Fmmm (69)
**Total energy**: -2.47 eV per atom
**Size of the total moment**: 0.0 μB per cell



Record 5
Here is an optimized crystal structure of CaHf2BeAg from Alexandria. Energies are from PBE.

Cell and atoms, written as POSCAR:
```
CaHf2BeAg
1.0
-2.180 0.095 4.564
1.409 -4.344 0.763
4.297 1.748 2.016
Be Ca Hf Ag
1 1 2 1
Cartesian
0.705 -2.172 0.382 Be
0.000 0.000 0.000 Ca
2.149 0.874 1.008 Hf
-1.090 0.047 2.282 Hf
1.764 -1.250 3.672 Ag
```

Calculated values
**SG**: P4/mmm (123)
**Total energy**: -3.78 eV per atom
**Size of the total moment**: 0.0 μB per cell